# 1
A relaxed LaBe2Cl crystal, computed with PBE-GGA.

The density of states at the Fermi level is 2.9 states/eV/f.u. The energy relative to the elements, uncorrected comes out at 0.270 eV/atom. The uncorrected energy is -13.145 eV for the cell shown. The value obtained for the energy relative to the lowest polymorph listed for this composition is 547 meV/atom. The calculation puts the magnetic moment at 0.0 μB/f.u.

abc: 3.617 4.789 5.550
angles: 90.00 90.00 90.00
Sites, in units of the cell vectors:
La 0.500 0.500 0.750
Cl 0.500 0.500 0.250
Be 0.000 0.000 0.938
Be 0.000 0.000 0.562

# 2
A relaxed LaBeCl2 crystal, computed with PBE-GGA.

The density of states at the Fermi level is 1.9 states/eV/f.u. The energy relative to the elements, uncorrected comes out at -0.816 eV/atom. The uncorrected energy is -15.611 eV for the cell shown. The value obtained for the energy relative to the lowest polymorph listed for this composition is 216 meV/atom. The calculation puts the magnetic moment at 0.0 μB/f.u.

abc: 5.159 5.159 5.144
angles: 82.45 82.45 44.90
Sites, in units of the cell vectors:
Be 0.250 0.250 0.250
La 0.750 0.750 0.750
Cl 0.460 0.460 0.523
Cl 0.040 0.040 0.977

# 3
A relaxed La4BeCl crystal, computed with PBE-GGA.

The density of states at the Fermi level is 10.3 states/eV/f.u. The energy relative to the elements, uncorrected comes out at 0.442 eV/atom. The uncorrected energy is -22.629 eV for the cell shown. The calculation puts the magnetic moment at 0.7 μB/f.u.

abc: 6.414 6.414 6.414
angles: 60.00 60.00 60.00
Each line ends with the local moment (μB).
Sites, in units of the cell vectors:
La 0.867 0.378 0.378  0.08
La 0.378 0.378 0.867  0.08
La 0.378 0.378 0.378  0.08
La 0.378 0.867 0.378  0.08
Be 0.750 0.750 0.750  0.02
Cl 0.000 0.000 0.000  0.01

# 4
A relaxed LaBeCl2 crystal, computed with PBE-GGA.

The density of states at the Fermi level is 2.0 states/eV/f.u. The energy relative to the elements, uncorrected comes out at -1.032 eV/atom. The uncorrected energy is -16.476 eV for the cell shown. The value obtained for the energy relative to the lowest polymorph listed for this composition is 0 meV/atom. The calculation puts the magnetic moment at 0.0 μB/f.u.

abc: 3.481 3.513 8.680
angles: 79.55 90.00 90.00
Sites, in units of the cell vectors:
La 0.000 0.544 0.527
Cl 0.000 0.881 0.891
Cl 0.500 0.135 0.324
Be 0.500 0.940 0.757

# 5
A relaxed LaBeCl2 crystal, computed with PBE-GGA.

The density of states at the Fermi level is 1.8 states/eV/f.u. The energy relative to the elements, uncorrected comes out at -0.872 eV/atom. The uncorrected energy is -15.833 eV for the cell shown. The value obtained for the energy relative to the lowest polymorph listed for this composition is 161 meV/atom. The calculation puts the magnetic moment at 0.4 μB/f.u.

abc: 3.729 3.729 8.588
angles: 90.00 90.00 115.08
Each line ends with the local moment (μB).
Sites, in units of the cell vectors:
La 0.000 0.000 0.536  0.10
Be 0.500 0.500 0.773  0.03
Cl 0.000 0.000 0.890  0.02
Cl 0.500 0.500 0.301  0.00

# 6
A relaxed La7BeCl12 crystal, computed with PBE-GGA.

The density of states at the Fermi level is 10.3 states/eV/f.u. The energy relative to the elements, uncorrected comes out at -1.898 eV/atom. The uncorrected energy is -98.344 eV for the cell shown. The calculation puts the magnetic moment at 0.0 μB/f.u.

abc: 9.869 9.336 9.336
angles: 108.29 110.63 110.63
Sites, in units of the cell vectors:
Cl 0.518 0.904 0.685
Cl 0.791 0.484 0.873
Cl 0.083 0.873 0.389
Cl 0.482 0.096 0.315
Cl 0.386 0.219 0.904
Cl 0.614 0.781 0.096
Cl 0.209 0.516 0.127
Cl 0.834 0.315 0.219
Cl 0.917 0.127 0.611
Cl 0.307 0.389 0.516
Cl 0.693 0.611 0.484
Cl 0.166 0.685 0.781
La 0.500 0.000 0.000
La 0.664 0.702 0.795
La 0.336 0.298 0.205
La 0.870 0.205 0.907
La 0.963 0.093 0.298
La 0.130 0.795 0.093
La 0.037 0.907 0.702
Be 0.000 0.000 0.000

# 7
A relaxed LaBe2Cl crystal, computed with PBE-GGA.

The density of states at the Fermi level is 5.5 states/eV/f.u. The energy relative to the elements, uncorrected comes out at 0.563 eV/atom. The uncorrected energy is -11.976 eV for the cell shown. The value obtained for the energy relative to the lowest polymorph listed for this composition is 839 meV/atom. The calculation puts the magnetic moment at 0.0 μB/f.u.

abc: 4.880 4.880 4.880
angles: 60.00 60.00 60.00
Sites, in units of the cell vectors:
Be 0.750 0.750 0.750
Be 0.250 0.250 0.250
La 0.500 0.500 0.500
Cl 0.000 0.000 0.000

# 8
A relaxed LaBeCl2 crystal, computed with PBE-GGA.

The density of states at the Fermi level is 2.6 states/eV/f.u. The energy relative to the elements, uncorrected comes out at -0.661 eV/atom. The uncorrected energy is -14.991 eV for the cell shown. The value obtained for the energy relative to the lowest polymorph listed for this composition is 371 meV/atom. The calculation puts the magnetic moment at 0.0 μB/f.u.

abc: 10.833 10.833 10.833
angles: 20.72 20.72 20.72
Sites, in units of the cell vectors:
La 0.250 0.250 0.250
Be 0.750 0.750 0.750
Cl 0.526 0.526 0.526
Cl 0.974 0.974 0.974

# 9
A relaxed LaBeCl2 crystal, computed with PBE-GGA.

The density of states at the Fermi level is 1.6 states/eV/f.u. The energy relative to the elements, uncorrected comes out at -0.851 eV/atom. The uncorrected energy is -15.751 eV for the cell shown. The value obtained for the energy relative to the lowest polymorph listed for this composition is 181 meV/atom. The calculation puts the magnetic moment at 0.0 μB/f.u.

abc: 3.905 3.849 5.787
angles: 90.00 90.00 90.00
Sites, in units of the cell vectors:
Cl 0.500 0.500 0.220
Cl 0.000 0.000 0.951
Be 0.500 0.500 0.841
La 0.000 0.000 0.488

# 10
A relaxed LaBeCl2 crystal, computed with PBE-GGA.

The density of states at the Fermi level is 3.2 states/eV/f.u. The energy relative to the elements, uncorrected comes out at -0.697 eV/atom. The uncorrected energy is -15.137 eV for the cell shown. The value obtained for the energy relative to the lowest polymorph listed for this composition is 335 meV/atom. The calculation puts the magnetic moment at 0.9 μB/f.u.

abc: 5.013 5.013 5.013
angles: 60.00 60.00 60.00
Each line ends with the local moment (μB).
Sites, in units of the cell vectors:
La 0.500 0.500 0.500  0.30
Cl 0.750 0.750 0.750  0.01
Cl 0.250 0.250 0.250  0.01
Be 0.000 0.000 0.000  0.08

# 11
A relaxed LaBeCl3 crystal, computed with PBE-GGA.

The density of states at the Fermi level is 0.0 states/eV/f.u. The energy relative to the elements, uncorrected comes out at -1.128 eV/atom. The uncorrected energy is -19.836 eV for the cell shown. The value obtained for the energy relative to the lowest polymorph listed for this composition is 0 meV/atom. The calculation puts the magnetic moment at 0.0 μB/f.u.

abc: 5.602 5.602 5.602
angles: 90.00 90.00 90.00
Sites, in units of the cell vectors:
Cl 0.000 0.000 0.500
Cl 0.500 0.000 0.000
Cl 0.000 0.500 0.000
Be 0.500 0.500 0.500
La 0.000 0.000 0.000

# 12
A relaxed LaBe2Cl crystal, computed with PBE-GGA.

The density of states at the Fermi level is 2.3 states/eV/f.u. The energy relative to the elements, uncorrected comes out at -0.115 eV/atom. The uncorrected energy is -14.686 eV for the cell shown. The value obtained for the energy relative to the lowest polymorph listed for this composition is 162 meV/atom. The calculation puts the magnetic moment at 0.0 μB/f.u.

abc: 3.177 3.177 8.795
angles: 90.00 90.00 90.00
Sites, in units of the cell vectors:
Be 0.500 0.500 0.123
Be 0.000 0.000 0.040
La 0.500 0.500 0.776
Cl 0.000 0.000 0.562

# 13
A relaxed LaBeCl2 crystal, computed with PBE-GGA.

The density of states at the Fermi level is 4.7 states/eV/f.u. The energy relative to the elements, uncorrected comes out at -0.380 eV/atom. The uncorrected energy is -27.734 eV for the cell shown. The value obtained for the energy relative to the lowest polymorph listed for this composition is 652 meV/atom. The calculation puts the magnetic moment at 2.3 μB/f.u.

abc: 5.893 5.893 7.049
angles: 65.29 65.29 90.00
Each line ends with the local moment (μB).
Sites, in units of the cell vectors:
La 0.750 0.250 0.500  0.71
La 0.000 0.000 0.000  0.71
Cl 0.375 0.496 0.750  0.03
Cl 0.246 0.625 0.250  0.02
Cl 0.875 0.754 0.750  0.02
Cl 0.504 0.125 0.250  0.02
Be 0.500 0.500 0.000  0.10
Be 0.250 0.750 0.500  0.10